Entry 1:
This record from Alexandria describes an optimized crystal structure of RbScIn2F6. The functional is GGA-PBE.

Lattice parameters (Å, degrees): 6.3084 6.3145 6.3385 66.39 66.37 66.23
With the nearest neighbours (Å) after each atom.
Positions (direct):
Rb 0.0000 0.0000 0.0000  6 F 2.85-2.86
Sc 0.5000 0.5000 0.5000  6 F 2.05
In 0.2701 0.2709 0.2719  6 F 2.63-2.89
In 0.7299 0.7291 0.7281  6 F 2.63-2.89
F 0.1975 0.3828 0.6574  1 Sc 2.05
F 0.3397 0.8033 0.6161  1 Sc 2.05
F 0.3830 0.6579 0.1987  1 Sc 2.05
F 0.6170 0.3421 0.8013  1 Sc 2.05
F 0.6603 0.1967 0.3839  1 Sc 2.05
F 0.8025 0.6172 0.3426  1 Sc 2.05

Properties
The final energy comes out at -52.1 eV/cell.

Entry 2:
This record from Alexandria describes an optimized crystal structure of Rb2InSeF6. The functional is GGA-PBE.

Lattice parameters (Å, degrees): 6.9859 6.9859 6.9859 127.78 127.78 76.98
With the nearest neighbours (Å) after each atom.
Positions (direct):
Rb 0.2500 0.7500 0.5000  12 F 3.14-3.49
Rb 0.7500 0.2500 0.5000  12 F 3.14-3.49
In 0.0000 0.0000 0.0000  6 F 2.11-2.16
Se 0.5000 0.5000 0.0000  4 F 2.19
F 0.1932 0.1932 0.0000  1 In 2.11
F 0.2480 0.2480 0.4961  1 In 2.16, 1 Se 2.19
F 0.2480 0.7520 0.0000  1 In 2.16, 1 Se 2.19
F 0.7520 0.2480 0.0000  1 In 2.16, 1 Se 2.19
F 0.7520 0.7520 0.5039  1 In 2.16, 1 Se 2.19
F 0.8068 0.8068 0.0000  1 In 2.11

Properties
The final energy comes out at -40.5 eV/cell.

> Which value of final energy does entry 2 give?

-40.5 eV/cell